VASP calculation (PBE) on a relaxed CoPtS2N crystal.

Output
offset from the most stable computed form = 0.000 eV/f.u.
uncorrected energy = -5.302 eV/atom
uncorrected formation energy = 644 meV/atom
total moment = 0.00 Bohr magnetons per cell
volume = 14.22 Å³ per atom

Unit cell a=4.632 b=4.632 c=3.313 alpha=90.00 beta=90.00 gamma=90.00
Space group P4/mmm (No. 123)
Asymmetric unit:
Co 0.000 0.000 0.000 x1
Pt 0.500 0.500 0.500 x1
S 0.000 0.500 0.000 x2
N 0.000 0.000 0.500 x1